Entry from Alexandria: MnGaPb2C after structural relaxation (PBE).

Output
ΔH_f (0 K): 0.70 eV per atom
Density of states at the Fermi level: 2.858 states/eV per cell
Magnetic moment: 2.9 Bohr magnetons per cell

Cell: 5.114 5.114 3.782 Å, 90.00 90.00 90.00°
Space group P4/mmm (No. 123)
Asymmetric unit:
Mn (0.000, 0.000, 0.000) x1
Ga (0.500, 0.500, 0.000) x1
Pb (0.000, 0.500, 0.500) x2
C (0.000, 0.000, 0.500) x1